The following is a PBE-GGA calculation of an optimized crystal structure of TlHgO2, from the Alexandria database.

- Space group: P6_3/mmc (194)
- M_tot: 0.00 μB per atom
- ΔE_f (raw): -420 meV/atom
- Energy above the lowest structure with this stoichiometry: 0.000 eV per atom

Cell lengths 3.7614, 3.7614, 13.0288 Å; angles 90.00, 90.00, 120.00 degrees
With the nearest neighbours (Å) after each atom.
Positions (direct):
O1 0.6667 0.3333 0.9065  1 Hg 2.04
O2 0.6667 0.3333 0.5935  1 Hg 2.04
O3 0.3333 0.6667 0.4065  1 Hg 2.04
O4 0.3333 0.6667 0.0935  1 Hg 2.04
Tl1 0.0000 0.0000 0.5000  6 O 2.49
Tl2 0.0000 0.0000 0.0000  6 O 2.49
Hg1 0.6667 0.3334 0.7500  2 O 2.04
Hg2 0.3333 0.6667 0.2500  2 O 2.04